1.
TlGe6S8, optimized geometry, DFT PBE-GGA; ΔE_f (raw) = -0.133 eV per atom; DOS at the Fermi energy = 0.37 states/eV/atom; SG = R-3, No. 148; VASP energy = -4.339 eV per atom; M_tot = 0.000 μB per atom
1.0
7.426 0.001 0.002
-0.230 7.422 0.002
-0.230 -0.237 7.418
Tl Ge S
1 6 8
Direct
0.000 0.000 0.000
0.593 0.449 0.819
0.449 0.819 0.593
0.819 0.593 0.449
0.407 0.551 0.181
0.551 0.181 0.407
0.181 0.407 0.551
0.737 0.737 0.737
0.263 0.263 0.263
0.587 0.885 0.308
0.885 0.308 0.587
0.308 0.587 0.885
0.413 0.115 0.692
0.115 0.692 0.413
0.692 0.413 0.115

2.
TlGeS, optimized geometry, DFT PBE-GGA; ΔE_f (raw) = -0.116 eV per atom; DOS at the Fermi energy = 0.32 states/eV/atom; SG = P3m1, No. 156; excess energy over the best structure of this formula in the dataset = 0.072 eV/atom; VASP energy = -3.820 eV per atom; M_tot = 0.000 μB per atom
1.0
-3.394 0.159 0.713
2.180 -1.480 2.260
0.969 6.314 3.202
S Tl Ge
1 1 1
Direct
0.333 0.667 0.601
0.000 0.000 0.996
0.667 0.333 0.403

3.
Tl3Ge2S4, optimized geometry, DFT PBE-GGA; ΔE_f (raw) = -0.270 eV per atom; DOS at the Fermi energy = 0.08 states/eV/atom; SG = C2/c, No. 15; VASP energy = -3.919 eV per atom; M_tot = 0.000 μB per atom
1.0
7.284 0.261 0.187
0.630 8.884 -0.175
0.630 2.697 8.467
Tl Ge S
6 4 8
Direct
0.986 0.044 0.286
0.514 0.714 0.956
0.014 0.956 0.714
0.486 0.286 0.044
0.250 0.641 0.359
0.750 0.359 0.641
0.379 0.177 0.464
0.121 0.536 0.823
0.621 0.823 0.536
0.879 0.464 0.177
0.416 0.997 0.315
0.084 0.685 0.003
0.584 0.003 0.685
0.916 0.315 0.997
0.070 0.329 0.378
0.430 0.622 0.671
0.930 0.671 0.622
0.570 0.378 0.329

4.
TlGe4S7, optimized geometry, DFT PBE-GGA; ΔE_f (raw) = -0.252 eV per atom; DOS at the Fermi energy = 0.32 states/eV/atom; SG = Pmn2_1, No. 31; VASP energy = -4.396 eV per atom; M_tot = 0.000 μB per atom
1.0
6.915 0.000 0.000
0.000 6.164 0.000
0.000 0.000 14.881
Tl Ge S
2 8 14
Direct
0.548 0.765 0.500
0.048 0.235 0.000
0.599 0.720 0.880
0.100 0.743 0.250
0.600 0.257 0.250
0.099 0.280 0.620
0.099 0.280 0.380
0.599 0.720 0.120
0.100 0.743 0.750
0.600 0.257 0.750
0.921 0.674 0.114
0.421 0.326 0.386
0.435 0.407 0.877
0.935 0.593 0.623
0.935 0.593 0.377
0.435 0.407 0.123
0.496 0.894 0.756
0.996 0.106 0.744
0.996 0.106 0.256
0.496 0.894 0.244
0.505 0.920 0.000
0.005 0.080 0.500
0.921 0.674 0.886
0.421 0.326 0.614

5.
TlGeS2, optimized geometry, DFT PBE-GGA; ΔE_f (raw) = -0.187 eV per atom; DOS at the Fermi energy = 0.39 states/eV/atom; SG = I-42d, No. 122; VASP energy = -3.997 eV per atom; M_tot = 0.000 μB per atom
1.0
-2.241 -2.645 -6.076
-3.019 -5.302 3.422
-6.807 -1.341 -0.933
S Tl Ge
4 2 2
Direct
0.527 0.125 0.250
0.223 0.625 0.250
0.375 0.473 0.750
0.875 0.777 0.750
0.000 0.000 0.000
0.750 0.250 0.500
0.500 0.500 0.000
0.250 0.750 0.500

6.
Tm6TlGe2S3, optimized geometry, DFT PBE-GGA; ΔE_f (raw) = -1.278 eV per atom; DOS at the Fermi energy = 0.36 states/eV/atom; SG = C2/m, No. 12; VASP energy = -5.512 eV per atom; M_tot = 0.000 μB per atom
1.0
3.992 0.000 0.000
0.000 8.154 -0.111
-1.996 -2.768 8.500
Tm Tl Ge S
6 1 2 3
Direct
0.325 0.923 0.650
0.670 0.570 0.339
0.675 0.077 0.350
0.992 0.274 0.985
0.008 0.726 0.015
0.330 0.430 0.661
0.500 0.000 0.000
0.841 0.686 0.681
0.159 0.314 0.319
0.500 0.500 0.000
0.832 0.177 0.664
0.168 0.823 0.336

7.
TmTlGeS4, optimized geometry, DFT PBE-GGA; ΔE_f (raw) = -0.982 eV per atom; DOS at the Fermi energy = 0.00 states/eV/atom; SG = P2_1/m, No. 11; VASP energy = -4.977 eV per atom; M_tot = 0.000 μB per atom
1.0
6.455 0.000 -0.015
0.000 6.678 0.000
-2.551 0.000 8.378
Tm Tl Ge S
2 2 2 8
Direct
0.777 0.750 0.449
0.223 0.250 0.551
0.739 0.750 0.932
0.261 0.250 0.068
0.233 0.750 0.331
0.767 0.250 0.669
0.001 0.505 0.703
0.999 0.005 0.297
0.999 0.495 0.297
0.001 0.995 0.703
0.439 0.750 0.171
0.561 0.250 0.829
0.446 0.750 0.581
0.554 0.250 0.419

8.
Tl2VGeS4, optimized geometry, DFT PBE-GGA; ΔE_f (raw) = -0.450 eV per atom; DOS at the Fermi energy = 0.50 states/eV/atom; SG = Fddd, No. 70; VASP energy = -4.822 eV per atom; M_tot = 0.125 μB per atom
1.0
-6.392 0.471 -1.379
-4.669 -2.029 5.366
-3.262 10.196 3.019
Tl V Ge S
4 2 2 8
Direct
0.180 0.000 0.639
0.820 0.000 0.361
0.570 0.500 0.861
0.930 0.500 0.139
0.750 0.500 0.500
0.000 0.000 0.000
0.250 0.500 0.500
0.500 0.000 0.000
0.255 0.817 0.111
0.183 0.183 0.889
0.928 0.817 0.889
0.634 0.183 0.111
0.495 0.683 0.389
0.567 0.317 0.611
0.822 0.683 0.611
0.116 0.317 0.389

9.
YTlGeS4, optimized geometry, DFT PBE-GGA; ΔE_f (raw) = -0.996 eV per atom; DOS at the Fermi energy = 0.00 states/eV/atom; SG = P2_1/m, No. 11; VASP energy = -5.276 eV per atom; M_tot = 0.000 μB per atom
1.0
-3.908 1.308 -5.058
-2.746 -6.062 0.554
-4.227 2.576 7.234
Y Tl Ge S
2 2 2 8
Direct
0.774 0.750 0.447
0.226 0.250 0.553
0.738 0.750 0.931
0.262 0.250 0.069
0.230 0.750 0.328
0.770 0.250 0.672
0.000 0.506 0.707
0.000 0.006 0.293
0.000 0.494 0.293
0.000 0.994 0.707
0.434 0.750 0.167
0.566 0.250 0.833
0.437 0.750 0.579
0.563 0.250 0.421

10.
Y6TlGe2S3, optimized geometry, DFT PBE-GGA; ΔE_f (raw) = -1.341 eV per atom; DOS at the Fermi energy = 0.38 states/eV/atom; SG = C2/m, No. 12; VASP energy = -6.572 eV per atom; M_tot = 0.000 μB per atom
1.0
-1.692 0.896 -3.577
-6.330 -5.064 1.726
-1.257 7.815 4.854
Y Tl Ge S
6 1 2 3
Direct
0.325 0.921 0.651
0.669 0.573 0.338
0.675 0.079 0.349
0.994 0.273 0.987
0.006 0.727 0.013
0.331 0.427 0.662
0.500 0.000 0.000
0.839 0.682 0.678
0.161 0.318 0.322
0.500 0.500 0.000
0.832 0.175 0.664
0.168 0.825 0.336

11.
TmGeS, optimized geometry, DFT PBE-GGA; ΔE_f (raw) = -1.125 eV per atom; DOS at the Fermi energy = 0.22 states/eV/atom; SG = R-3m, No. 166; VASP energy = -5.530 eV per atom; M_tot = 0.000 μB per atom
1.0
4.235 0.000 0.000
2.117 3.668 0.000
2.117 1.223 8.870
S Ge Tm
2 2 2
Direct
0.295 0.295 0.115
0.705 0.705 0.885
0.148 0.148 0.555
0.852 0.852 0.445
0.405 0.405 0.784
0.595 0.595 0.216

12.
Tm8GeS5, optimized geometry, DFT PBE-GGA; ΔE_f (raw) = -1.304 eV per atom; DOS at the Fermi energy = 0.46 states/eV/atom; SG = I-4, No. 82; VASP energy = -5.663 eV per atom; M_tot = 0.000 μB per atom
1.0
-4.541 3.506 -4.300
6.009 -1.606 -3.567
-3.094 -6.060 2.259
Tm Ge S
8 1 5
Direct
0.994 0.750 0.117
0.250 0.367 0.243
0.621 0.874 0.377
0.126 0.504 0.747
0.757 0.379 0.253
0.123 0.006 0.757
0.633 0.877 0.883
0.496 0.243 0.623
0.250 0.750 0.500
0.876 0.252 0.874
0.748 0.622 0.624
0.378 0.001 0.126
0.500 0.500 0.000
0.999 0.124 0.376